The following is a DFT calculation (PBE) of DyPaSi4 after structural relaxation.

Cell lengths 8.427, 14.415, 3.946 Å; angles 90.00, 90.00, 90.00 degrees
Fractional positions:
1 Dy 0.132 0.084 0.000
2 Dy 0.368 0.584 0.000
3 Dy 0.632 0.416 0.000
4 Dy 0.868 0.916 0.000
5 Pa 0.093 0.368 0.000
6 Pa 0.407 0.868 0.000
7 Pa 0.593 0.132 0.000
8 Pa 0.907 0.632 0.000
9 Si 0.040 0.217 0.500
10 Si 0.127 0.530 0.500
11 Si 0.150 0.918 0.500
12 Si 0.185 0.690 0.500
13 Si 0.315 0.190 0.500
14 Si 0.350 0.418 0.500
15 Si 0.373 0.030 0.500
16 Si 0.460 0.717 0.500
17 Si 0.540 0.283 0.500
18 Si 0.627 0.970 0.500
19 Si 0.650 0.582 0.500
20 Si 0.685 0.810 0.500
21 Si 0.815 0.310 0.500
22 Si 0.850 0.082 0.500
23 Si 0.873 0.470 0.500
24 Si 0.960 0.783 0.500

Formation energy without anion corrections (eV/f.u.): -2.1
Total moment (μB/f.u.): 0.0
Space group: Pbam
Fermi-level density of states (states/eV/atom): 0.740
Final energy (eV/atom): -6.3202
Volume (Å³/cell): 479.3